Sr2TaP | the Alexandria database | GGA-PBEsol | relaxed; final energy = -5.602 eV per atom; calculated volume = 114.9 Å³/cell; formation energy = -96.0 meV/atom
1.0
3.488 0.000 0.000
0.000 3.656 0.000
-1.744 -1.828 9.009
Sr P Ta
2 1 1
Direct
0.847 0.847 0.694
0.153 0.153 0.306
0.500 0.000 0.000
0.000 0.500 0.000

***

SrTaP2 | the Alexandria database | GGA-PBEsol | relaxed; final energy = -6.574 eV per atom; calculated volume = 72.6 Å³/cell; formation energy = -80.7 meV/atom; energy relative to the lowest polymorph listed for this composition = 0.588 eV per atom
1.0
-2.009 1.650 -1.294
-2.507 0.330 4.314
2.599 4.101 1.196
Sr P Ta
1 2 1
Direct
0.500 0.500 0.500
0.000 0.500 0.000
0.000 0.000 0.500
0.500 0.000 0.000

***

Sr2TcP | the Alexandria database | GGA-PBEsol | relaxed; final energy = -4.809 eV per atom; calculated volume = 92.2 Å³/cell; formation energy = 375.3 meV/atom; energy relative to the lowest polymorph listed for this composition = 0.622 eV per atom
1.0
-0.848 2.227 2.062
-2.995 -2.461 1.425
4.491 -2.704 4.767
Sr Tc P
2 1 1
Direct
0.000 0.000 0.737
0.000 0.000 0.263
0.500 0.500 0.000
0.500 0.500 0.500

***

Sr2TcP | the Alexandria database | GGA-PBEsol | relaxed; final energy = -5.431 eV per atom; calculated volume = 104.6 Å³/cell; formation energy = -246.4 meV/atom; energy relative to the lowest polymorph listed for this composition = 0.000 eV per atom
1.0
4.040 0.000 0.000
0.000 4.690 0.000
0.000 -2.345 5.520
Sr Tc P
2 1 1
Direct
0.500 0.270 0.540
0.000 0.985 0.969
0.000 0.670 0.340
0.500 0.574 0.148

***

SrTeP2 | the Alexandria database | GGA-PBEsol | relaxed; final energy = -4.395 eV per atom; calculated volume = 89.5 Å³/cell; E_form (uncorrected) = -0.63 eV per formula unit
1.0
-3.396 -0.190 -2.396
2.402 -0.135 -3.394
0.593 -4.999 3.169
Te Sr P
1 1 2
Direct
0.250 0.750 0.500
0.500 0.500 0.000
0.000 0.000 0.000
0.750 0.250 0.500

***

Sr3TeP | the Alexandria database | GGA-PBEsol | relaxed; final energy = -3.267 eV per atom; calculated volume = 214.1 Å³/cell; E_form (uncorrected) = -1.49 eV per formula unit
1.0
-0.892 -4.812 -3.440
5.831 -1.300 0.306
-0.994 -3.308 4.885
Sr P Te
3 1 1
Direct
0.000 0.500 0.000
0.500 0.000 0.000
0.000 0.000 0.500
0.500 0.500 0.500
0.000 0.000 0.000

***

SrTeP2 | the Alexandria database | GGA-PBEsol | relaxed; final energy = -4.226 eV per atom; calculated volume = 266.4 Å³/cell; E_form (uncorrected) = 0.05 eV per formula unit
1.0
-1.409 -4.151 4.534
5.879 -2.269 -0.250
-0.328 7.639 2.506
Sr Te P
2 2 4
Direct
0.750 0.250 0.500
0.500 0.500 0.000
0.250 0.750 0.500
0.000 0.000 0.000
0.625 0.676 0.750
0.926 0.375 0.250
0.125 0.074 0.750
0.324 0.875 0.250

***

Sr2TeP | the Alexandria database | GGA-PBEsol | relaxed; final energy = -4.297 eV per atom; calculated volume = 127.3 Å³/cell; E_form (uncorrected) = -4.19 eV per formula unit
1.0
-0.830 -0.184 3.528
1.821 -3.927 0.224
6.612 5.457 -0.027
P Sr Te
1 2 1
Direct
0.292 0.792 0.585
0.717 0.217 0.434
0.940 0.940 0.879
0.551 0.551 0.102

***

Question: Which value of final energy does entry 3 give?
Answer: -4.809 eV per atom